VASP calculation (PBE) on crystalline CrIn3S at its relaxed geometry.

Calculated values
uncorrected energy	-16.32	eV/f.u.
magnetic moment	0.084	μB per atom
space-group type	Pm-3m, No. 221
uncorrected formation energy	545	kJ/mol of formula units

a = 5.1622 Å, b = 5.1622 Å, c = 5.1622 Å
α = 90.00°, β = 90.00°, γ = 90.00°
Positions (direct):
In  0.0000  0.0000  0.5000
In  0.5000  0.0000  0.0000
In  0.0000  0.5000  0.0000
Cr  0.5000  0.5000  0.5000
S  0.0000  0.0000  0.0000